Entry 1:
{
  "formula": "K2SiRh",
  "functional": "PBE",
  "state": "optimized geometry",
  "vol_a3_per_cell": 92,
  "spacegroup": "P4/mmm (123)",
  "raw_formation_energy_ev_per_atom": 0.704,
  "total_energy_ev_per_atom": -3.0384,
  "n_ef_per_ev_atom": 0.94,
  "cell": [[-1.614, -2.399, 0.474], [2.420, -1.492, 0.708], [-1.237, 2.858, 10.258]],
  "species": ["K", "K", "Si", "Rh"],
  "frac_coords": [[0.000, 0.000, 0.008], [0.000, 0.000, 0.492], [0.500, 0.500, 0.750], [0.500, 0.500, 0.250]]
}

Entry 2:
{
  "formula": "LaEr3Sb2",
  "functional": "PBE",
  "state": "optimized geometry",
  "vol_a3_per_cell": 359,
  "spacegroup": "C2/m (12)",
  "raw_formation_energy_ev_per_atom": -0.694,
  "total_energy_ev_per_atom": -5.1712,
  "n_ef_per_ev_atom": 0.99,
  "cell": [[4.343, 0.000, 0.000], [-2.172, 10.411, -0.574], [0.000, -5.254, 8.231]],
  "species": ["Er", "Er", "Er", "Er", "Er", "Er", "La", "La", "Sb", "Sb", "Sb", "Sb"],
  "frac_coords": [[0.311, 0.622, 0.507], [0.689, 0.378, 0.493], [0.640, 0.280, 0.804], [0.360, 0.720, 0.196], [0.057, 0.115, 0.441], [0.943, 0.885, 0.559], [0.888, 0.777, 0.902], [0.112, 0.223, 0.098], [0.486, 0.972, 0.816], [0.244, 0.488, 0.781], [0.514, 0.028, 0.184], [0.756, 0.512, 0.219]]
}

Entry 3:
{
  "formula": "RbInBI2",
  "functional": "PBE",
  "state": "optimized geometry",
  "vol_a3_per_cell": 171,
  "spacegroup": "P4/mmm (123)",
  "raw_formation_energy_ev_per_atom": -0.013,
  "total_energy_ev_per_atom": -2.7097,
  "n_ef_per_ev_atom": 0.26,
  "cell": [[6.314, 0.000, 0.000], [0.000, 4.291, 0.000], [0.000, 0.000, 6.314]],
  "species": ["I", "I", "B", "Rb", "In"],
  "frac_coords": [[0.500, 0.000, 0.000], [0.000, 0.000, 0.500], [0.000, 0.000, 0.000], [0.500, 0.500, 0.500], [0.000, 0.500, 0.000]]
}

Entry 4:
{
  "formula": "Tl2CdBr",
  "functional": "PBE",
  "state": "optimized geometry",
  "vol_a3_per_cell": 124,
  "spacegroup": "I4/mmm (139)",
  "e_above_lowest_polymorph_mev_per_atom": 59.1,
  "raw_formation_energy_ev_per_atom": -0.236,
  "total_energy_ev_per_atom": -2.0662,
  "n_ef_per_ev_atom": 0.33,
  "cell": [[6.061, -0.057, 0.000], [1.945, 5.741, 0.000], [-4.003, -2.842, 3.556]],
  "species": ["Tl", "Tl", "Br", "Cd"],
  "frac_coords": [[0.000, 0.000, 0.000], [0.500, 0.500, 0.000], [0.250, 0.750, 0.500], [0.750, 0.250, 0.500]]
}

Entry 5:
{
  "formula": "CsIrOs",
  "functional": "PBE",
  "state": "optimized geometry",
  "vol_a3_per_cell": 316,
  "spacegroup": "Cmcm (63)",
  "delta_e_f_ev_per_atom": 0.6275,
  "total_energy_ev_per_atom": -6.3539,
  "n_ef_per_ev_atom": 0.75,
  "cell": [[13.668, 0.000, 0.000], [0.000, 5.171, 0.000], [0.000, 0.000, 4.476]],
  "species": ["Ir", "Ir", "Ir", "Ir", "Os", "Os", "Os", "Os", "Cs", "Cs", "Cs", "Cs"],
  "frac_coords": [[0.477, 0.250, 0.000], [0.023, 0.750, 0.500], [0.977, 0.250, 0.500], [0.523, 0.750, 0.000], [0.000, 0.000, 0.000], [0.500, 0.500, 0.500], [0.000, 0.500, 0.000], [0.500, 0.000, 0.500], [0.216, 0.250, 0.500], [0.784, 0.750, 0.500], [0.716, 0.250, 0.000], [0.284, 0.750, 0.000]]
}

Entry 6:
{
  "formula": "La5Nd5Pb6",
  "functional": "PBE",
  "state": "optimized geometry",
  "vol_a3_per_cell": 547,
  "spacegroup": "Amm2 (38)",
  "delta_e_f_ev_per_atom": -0.5446,
  "total_energy_ev_per_atom": -4.9650,
  "n_ef_per_ev_atom": 1.07,
  "cell": [[-3.330, -1.189, 6.014], [1.191, -9.365, -1.193], [6.563, 5.091, 4.641]],
  "species": ["La", "La", "La", "La", "La", "Nd", "Nd", "Nd", "Nd", "Nd", "Pb", "Pb", "Pb", "Pb", "Pb", "Pb"],
  "frac_coords": [[0.749, 0.334, 0.666], [0.251, 0.334, 0.666], [0.749, 0.666, 0.334], [0.251, 0.666, 0.334], [0.000, 0.238, 0.238], [0.500, 0.762, 0.762], [0.000, 0.760, 0.000], [0.000, 0.000, 0.760], [0.500, 0.239, 0.999], [0.500, 0.999, 0.239], [0.500, 0.000, 0.609], [0.000, 0.611, 0.611], [0.500, 0.609, 0.000], [0.500, 0.390, 0.390], [0.000, 0.393, 0.998], [0.000, 0.998, 0.393]]
}